AlW2 | PBE | relaxed

```
data_AlW2
_symmetry_space_group_name_H-M 'P 63/m m c'
_symmetry_Int_Tables_number 194
_symmetry_space_group_name_Hall '-P 6c 2c'
_cell_length_a 5.2961
_cell_length_b 5.2961
_cell_length_c 17.1622
_cell_angle_alpha 90.00
_cell_angle_beta 90.00
_cell_angle_gamma 120.00
loop_
_atom_site_label
_atom_site_fract_x
_atom_site_fract_y
_atom_site_fract_z
_atom_site_occupancy
Al1 0.0000 0.0000 0.0934 1
Al2 0.3333 0.6667 0.1562 1
W1 0.0000 0.5000 0.0000 1
W2 0.1609 0.3218 0.7500 1
W3 0.3333 0.6667 0.6266 1
```

Summary:
As for the volume: 416.9 Å³ per cell. As for the total energy: -9.428 eV/atom. As for the crystal system: hexagonal. The size of the total moment comes out at 0.00 μB per formula unit.